1.
The following is a DFT calculation (PBE) of an optimized crystal structure of SrBAsC2.

POSCAR file:
```
SrBAsC2
1.0
-3.6021 2.0780 -0.3029
-2.0470 -3.3402 1.4267
0.4684 1.3814 3.9060
C B Sr As
2 1 1 1
direct
0.5000 0.0000 0.0000 C
0.0000 0.0000 0.5000 C
0.0000 0.5000 0.0000 B
0.5000 0.5000 0.5000 Sr
0.0000 0.0000 0.0000 As
```

Output
Calculated total energy: -4.61 eV/atom
E above lowest polymorph: 0.0 kJ per mole of atoms
Magnetic moment: 0.00 μB per cell
SG: No. 123
Crystal system: tetragonal

***

2.
The following is a DFT calculation (PBE) of an optimized crystal structure of PmSm5Sn4.

POSCAR file:
```
PmSm5Sn4
1.0
-2.2048 -4.7712 -1.3205
1.1906 -2.4166 6.7438
-7.4415 7.5717 -3.8123
Sn Sm Pm
4 5 1
direct
0.6762 0.1019 0.3523 Sn
0.0087 0.2684 0.0173 Sn
0.3238 0.8981 0.6477 Sn
0.9913 0.7316 0.9827 Sn
0.8337 0.1599 0.6674 Sm
0.8339 0.6750 0.6679 Sm
0.1663 0.8401 0.3326 Sm
0.5000 0.5000 0.0000 Sm
0.1661 0.3250 0.3321 Sm
0.5000 0.0000 0.0000 Pm
```

Output
Calculated total energy: -4.99 eV/atom
Magnetic moment: 0.00 μB per cell
SG: No. 12
Crystal system: monoclinic

***

3.
The following is a DFT calculation (PBE) of an optimized crystal structure of BaNa2TlZn.

POSCAR file:
```
BaNa2TlZn
1.0
5.6474 0.0000 0.0000
0.0000 5.6474 0.0000
0.0000 0.0000 5.4732
Na Tl Ba Zn
2 1 1 1
direct
0.0000 0.5000 0.0000 Na
0.5000 0.0000 0.0000 Na
0.0000 0.0000 0.5000 Tl
0.5000 0.5000 0.5000 Ba
0.0000 0.0000 0.0000 Zn
```

Output
Calculated total energy: -1.63 eV/atom
Magnetic moment: 0.56 μB per cell
SG: No. 123
Crystal system: tetragonal

***

4.
The following is a DFT calculation (PBE) of an optimized crystal structure of Si2AsBr.

POSCAR file:
```
Si2AsBr
1.0
5.9365 0.0137 0.0051
3.0849 5.0721 -0.0051
-3.9482 -3.5408 2.6679
As Si Br
1 2 1
direct
0.7500 0.2500 0.5000 As
0.9618 0.9618 0.0000 Si
0.5382 0.5382 0.0000 Si
0.2500 0.7500 0.5000 Br
```

Output
Calculated total energy: -3.67 eV/atom
E above lowest polymorph: 55.0 kJ per mole of atoms
Magnetic moment: 0.00 μB per cell
SG: No. 71
Formation energy without anion corrections: 0.6270 eV/atom
Crystal system: orthorhombic

***

5.
The following is a DFT calculation (PBE) of an optimized crystal structure of LaCoPb2.

POSCAR file:
```
LaCoPb2
1.0
-0.0914 -6.0888 0.7217
5.5431 -2.6155 0.1904
-4.0016 3.8703 2.5712
La Co Pb
1 1 2
direct
0.2500 0.7500 0.5000 La
0.7500 0.2500 0.5000 Co
0.9546 0.9546 0.0000 Pb
0.5454 0.5454 0.0000 Pb
```

Output
Calculated total energy: -4.87 eV/atom
E above lowest polymorph: 15.8 kJ per mole of atoms
Magnetic moment: 0.31 μB per cell
SG: No. 71
Crystal system: orthorhombic

***

6.
The following is a DFT calculation (PBE) of an optimized crystal structure of BMoRu3.

POSCAR file:
```
BMoRu3
1.0
4.0534 0.0000 0.0000
0.0000 4.0534 0.0000
0.0000 0.0000 4.0534
Ru Mo B
3 1 1
direct
0.0000 0.5000 0.0000 Ru
0.5000 0.0000 0.0000 Ru
0.0000 0.0000 0.5000 Ru
0.5000 0.5000 0.5000 Mo
0.0000 0.0000 0.0000 B
```

Output
Calculated total energy: -9.00 eV/atom
E above lowest polymorph: 0.0 kJ per mole of atoms
Magnetic moment: 0.00 μB per cell
SG: No. 221
Crystal system: cubic

***

7.
The following is a DFT calculation (PBE) of an optimized crystal structure of Tb12InGa6.

POSCAR file:
```
Tb12InGa6
1.0
-2.2215 -7.9327 2.9982
4.6868 -0.8642 -7.3580
4.7894 4.1719 6.0424
Tb Ga In
12 6 1
direct
0.2933 0.4826 0.1893 Tb
0.8960 0.1893 0.7067 Tb
0.7067 0.5174 0.8107 Tb
0.5174 0.8107 0.7067 Tb
0.1893 0.2933 0.4826 Tb
0.1040 0.8107 0.2933 Tb
0.8107 0.2933 0.1040 Tb
0.2933 0.1040 0.8107 Tb
0.7067 0.8960 0.1893 Tb
0.1893 0.7067 0.8960 Tb
0.8107 0.7067 0.5174 Tb
0.4826 0.1893 0.2933 Tb
0.6222 0.5000 0.1222 Ga
0.1222 0.6222 0.5000 Ga
0.8778 0.3778 0.5000 Ga
0.5000 0.8778 0.3778 Ga
0.5000 0.1222 0.6222 Ga
0.3778 0.5000 0.8778 Ga
0.0000 0.0000 0.0000 In
```

Output
Calculated total energy: -4.42 eV/atom
Magnetic moment: 0.00 μB per cell
SG: No. 204
Crystal system: cubic

***

8.
The following is a DFT calculation (PBE) of an optimized crystal structure of PmMoN3.

POSCAR file:
```
PmMoN3
1.0
5.1343 0.0000 0.0000
0.0000 6.6101 0.0000
0.0000 0.0000 9.9494
N Pm Mo
12 4 4
direct
0.6296 0.6760 0.9023 N
0.3704 0.3240 0.0977 N
0.1296 0.8240 0.0977 N
0.8704 0.1760 0.5977 N
0.8163 0.5391 0.2500 N
0.1837 0.4609 0.7500 N
0.3163 0.9609 0.7500 N
0.6296 0.6760 0.5977 N
0.1296 0.8240 0.4023 N
0.8704 0.1760 0.9023 N
0.6837 0.0391 0.2500 N
0.3704 0.3240 0.4023 N
0.5000 0.0000 0.5000 Pm
0.0000 0.5000 0.5000 Pm
0.5000 0.0000 0.0000 Pm
0.0000 0.5000 0.0000 Pm
0.5617 0.3168 0.2500 Mo
0.0617 0.1832 0.7500 Mo
0.4383 0.6832 0.7500 Mo
0.9383 0.8168 0.2500 Mo
```

Output
Calculated total energy: -8.86 eV/atom
Magnetic moment: 0.00 μB per cell
SG: No. 62
Formation energy without anion corrections: -0.7522 eV/atom
Crystal system: orthorhombic

***

9.
The following is a DFT calculation (PBE) of an optimized crystal structure of MnVP.

POSCAR file:
```
MnVP
1.0
3.1020 0.0000 0.0000
0.0000 3.1020 0.0000
-1.5510 -1.5510 3.7459
P Mn V
1 1 1
direct
0.2837 0.2837 0.5675 P
0.9444 0.9444 0.8888 Mn
0.6219 0.6219 0.2438 V
```

Output
Calculated total energy: -8.23 eV/atom
Magnetic moment: 1.45 μB per cell
SG: No. 107
Crystal system: tetragonal

***

10.
The following is a DFT calculation (PBE) of an optimized crystal structure of ZnOs.

POSCAR file:
```
ZnOs
1.0
4.4183 0.0000 0.0000
0.0000 14.7223 0.0000
0.0000 0.0000 7.6039
Os Zn
16 16
direct
0.5000 0.0853 0.5000 Os
0.0000 0.4147 0.5000 Os
0.2500 0.8353 0.2500 Os
0.0000 0.9147 0.0000 Os
0.7500 0.6647 0.7500 Os
0.2500 0.6647 0.2500 Os
0.2500 0.1647 0.7500 Os
0.7500 0.8353 0.7500 Os
0.0000 0.5853 0.5000 Os
0.5000 0.9147 0.5000 Os
0.7500 0.1647 0.2500 Os
0.5000 0.5853 0.0000 Os
0.0000 0.0853 0.0000 Os
0.5000 0.4147 0.0000 Os
0.2500 0.3353 0.7500 Os
0.7500 0.3353 0.2500 Os
0.7500 0.2500 0.5853 Zn
0.5000 0.0000 0.8353 Zn
0.5000 0.5000 0.6647 Zn
0.2500 0.2500 0.0853 Zn
0.5000 0.5000 0.3353 Zn
0.7500 0.7500 0.4147 Zn
0.2500 0.7500 0.5853 Zn
0.0000 0.0000 0.6647 Zn
0.2500 0.2500 0.4147 Zn
0.0000 0.5000 0.1647 Zn
0.0000 0.0000 0.3353 Zn
0.7500 0.2500 0.9147 Zn
0.5000 0.0000 0.1647 Zn
0.2500 0.7500 0.9147 Zn
0.7500 0.7500 0.0853 Zn
0.0000 0.5000 0.8353 Zn
```

Output
Calculated total energy: -5.90 eV/atom
Magnetic moment: 0.00 μB per cell
SG: No. 70
Crystal system: orthorhombic

***

11.
The following is a DFT calculation (PBE) of an optimized crystal structure of Be5Ir4Au.

POSCAR file:
```
Be5Ir4Au
1.0
2.8523 0.0000 0.0000
0.0000 2.8523 0.0000
0.0000 0.0000 14.0779
Au Ir Be
1 4 5
direct
0.0000 0.0000 0.0000 Au
0.0000 0.0000 0.2037 Ir
0.0000 0.0000 0.5978 Ir
0.0000 0.0000 0.4022 Ir
0.0000 0.0000 0.7963 Ir
0.5000 0.5000 0.3043 Be
0.5000 0.5000 0.5000 Be
0.5000 0.5000 0.8783 Be
0.5000 0.5000 0.6957 Be
0.5000 0.5000 0.1217 Be
```

Output
Calculated total energy: -6.25 eV/atom
Magnetic moment: 0.00 μB per cell
SG: No. 123
Crystal system: tetragonal

***

12.
The following is a DFT calculation (PBE) of an optimized crystal structure of CdNiCl2.

POSCAR file:
```
CdNiCl2
1.0
3.4780 0.0000 0.0000
0.0000 5.0769 -0.3302
0.0000 1.1005 5.5764
Cl Cd Ni
2 1 1
direct
0.0000 0.0257 0.8255 Cl
0.5000 0.5042 0.3021 Cl
0.5000 0.6019 0.8202 Cd
0.0000 0.3681 0.5522 Ni
```

Output
Calculated total energy: -2.99 eV/atom
E above lowest polymorph: 0.0 kJ per mole of atoms
Magnetic moment: 0.36 μB per cell
SG: No. 6
Formation energy without anion corrections: -0.3929 eV/atom
Crystal system: monoclinic

***

- Which value of calculated total energy does entry 3 give?
  -1.63 eV/atom

***

- The lowest calculated total energy belongs to which entry?
  BMoRu3